## PmTmAl2 (PBE-GGA)

Data for a relaxed structure of PmTmAl2.

Total moment ... 0.00 μB per atom
Calculated density ... 6391 kg/m3
ΔE_f ... -144 kJ/mol of formula units
Symmetry ... No. 225

Cell lengths 5.1323, 5.1323, 5.1323 Å; angles 60.00, 60.00, 60.00 degrees
Element x y z (fractional)
Al  0.5000  0.5000  0.5000
Pm  0.2500  0.2500  0.2500
Tm  0.7500  0.7500  0.7500
Al  0.0000  0.0000  0.0000